MgSiP2 after structural relaxation. Source: the Alexandria database, functional GGA-PBEsol.

Unit cell a=6.330 b=6.536 c=8.060 alpha=90.00 beta=90.00 gamma=90.00
Atoms (fractional coordinates):
P 0.099 0.398 0.854
P 0.099 0.898 0.646
P 0.638 0.550 0.608
Mg 0.999 0.588 0.119
Mg 0.499 0.412 0.881
P 0.638 0.050 0.892
P 0.138 0.450 0.392
Si 0.994 0.569 0.626
Si 0.494 0.931 0.126
Mg 0.499 0.912 0.619
Si 0.994 0.069 0.874
Si 0.494 0.431 0.374
P 0.138 0.950 0.108
P 0.599 0.602 0.146
Mg 0.999 0.088 0.381
P 0.599 0.102 0.354

## Properties
Distance to the lowest polymorph of the same formula (meV per atom): 2
Uncorrected energy (eV per atom): -5.157
Raw formation energy (eV per atom): -0.40
Symmetry: Pna2_1
ρ (g/cm³): 2.28